Entry 1:
DFT (PBE) results for an optimized crystal structure of UBeH4.

Structure (CIF):
```
data_UBeH4
_cell_length_a 4.1038
_cell_length_b 4.2714
_cell_length_c 6.3599
_cell_angle_alpha 107.53
_cell_angle_beta 90.00
_cell_angle_gamma 118.71
_symmetry_space_group_name_H-M 'P 1'
_symmetry_Int_Tables_number 1
_symmetry_space_group_name_Hall 'P 1'
loop_
_atom_site_label
_atom_site_type_symbol
_atom_site_fract_x
_atom_site_fract_y
_atom_site_fract_z
_atom_site_occupancy
H1 H 0.3207 0.0709 0.9149 1
U1 U 0.7663 0.0000 0.7500 1
H2 H 0.1541 0.4158 0.1137 1
H3 H 0.7502 0.0709 0.4149 1
U2 U 0.2337 0.0000 0.2500 1
H4 H 0.7383 0.5842 0.3863 1
H5 H 0.2617 0.4158 0.6137 1
H6 H 0.8459 0.5842 0.8863 1
Be1 Be 0.5000 0.5000 0.0000 1
H7 H 0.6793 0.9291 0.0851 1
Be2 Be 0.0000 0.5000 0.5000 1
H8 H 0.2498 0.9291 0.5851 1
```

Output
N(E_F), states/eV/atom: 0.595
Symmetry: C2/c, No. 15
Total energy, eV/atom: -4.845

---

Entry 2:
DFT (PBE) results for an optimized crystal structure of ZnCdRu2.

Structure (CIF):
```
data_ZnCdRu2
_cell_length_a 2.7525
_cell_length_b 2.7525
_cell_length_c 9.0905
_cell_angle_alpha 90.00
_cell_angle_beta 90.00
_cell_angle_gamma 115.19
_symmetry_space_group_name_H-M 'P 1'
_symmetry_Int_Tables_number 1
_symmetry_space_group_name_Hall 'P 1'
loop_
_atom_site_label
_atom_site_type_symbol
_atom_site_fract_x
_atom_site_fract_y
_atom_site_fract_z
_atom_site_occupancy
Ru1 Ru 0.0000 0.0000 0.4846 1
Ru2 Ru 0.0000 0.0000 0.0154 1
Zn1 Zn 0.5000 0.5000 0.2500 1
Cd1 Cd 0.5000 0.5000 0.7500 1
```

Output
N(E_F), states/eV/atom: 1.084
Formation energy from the elements, eV/atom: 0.3264
Symmetry: Cmmm, No. 65
Total energy, eV/atom: -4.859

---

Entry 3:
DFT (PBE) results for an optimized crystal structure of HfGaTcGe.

Structure (CIF):
```
data_HfGaTcGe
_cell_length_a 4.5102
_cell_length_b 4.5102
_cell_length_c 4.5102
_cell_angle_alpha 60.00
_cell_angle_beta 60.00
_cell_angle_gamma 60.00
_symmetry_space_group_name_H-M 'P 1'
_symmetry_Int_Tables_number 1
_symmetry_space_group_name_Hall 'P 1'
loop_
_atom_site_label
_atom_site_type_symbol
_atom_site_fract_x
_atom_site_fract_y
_atom_site_fract_z
_atom_site_occupancy
Tc1 Tc 0.7500 0.7500 0.7500 1
Hf1 Hf 0.2500 0.2500 0.2500 1
Ge1 Ge 0.5000 0.5000 0.5000 1
Ga1 Ga 0.0000 0.0000 0.0000 1
```

Output
N(E_F), states/eV/atom: 0.558
Formation energy from the elements, eV/atom: -0.2349
Symmetry: F-43m, No. 216
Total energy, eV/atom: -7.226

---

Entry 4:
DFT (PBE) results for an optimized crystal structure of NdGe3Os.

Structure (CIF):
```
data_NdGe3Os
_cell_length_a 5.7931
_cell_length_b 5.7895
_cell_length_c 6.2495
_cell_angle_alpha 90.00
_cell_angle_beta 89.99
_cell_angle_gamma 90.00
_symmetry_space_group_name_H-M 'P 1'
_symmetry_Int_Tables_number 1
_symmetry_space_group_name_Hall 'P 1'
loop_
_atom_site_label
_atom_site_type_symbol
_atom_site_fract_x
_atom_site_fract_y
_atom_site_fract_z
_atom_site_occupancy
Ge1 Ge 0.9550 0.5087 0.4687 1
Ge2 Ge 0.8869 0.0986 0.7009 1
Ge3 Ge 0.4552 0.8442 0.4328 1
Os1 Os 0.1552 0.7902 0.7007 1
Ge4 Ge 0.3869 0.2540 0.2008 1
Nd1 Nd 0.4258 0.3174 0.7007 1
Ge5 Ge 0.4551 0.8442 0.9688 1
Nd2 Nd 0.9258 0.0353 0.2007 1
Os2 Os 0.6552 0.5625 0.2007 1
Ge6 Ge 0.9552 0.5087 0.9329 1
```

Output
N(E_F), states/eV/atom: 0.525
Formation energy from the elements, eV/atom: -0.3562
Symmetry: Pmn2_1, No. 31
Total energy, eV/atom: -6.326

---

Entry 5:
DFT (PBE) results for an optimized crystal structure of PuPa2N4.

Structure (CIF):
```
data_PuPa2N4
_cell_length_a 3.4649
_cell_length_b 6.0052
_cell_length_c 10.7151
_cell_angle_alpha 90.00
_cell_angle_beta 90.00
_cell_angle_gamma 106.77
_symmetry_space_group_name_H-M 'P 1'
_symmetry_Int_Tables_number 1
_symmetry_space_group_name_Hall 'P 1'
loop_
_atom_site_label
_atom_site_type_symbol
_atom_site_fract_x
_atom_site_fract_y
_atom_site_fract_z
_atom_site_occupancy
Pa1 Pa 0.8685 0.7370 0.5729 1
Pa2 Pa 0.1315 0.2630 0.4271 1
N1 N 0.5000 0.0000 0.5000 1
N2 N 0.2336 0.4671 0.6069 1
Pu1 Pu 0.3883 0.7766 0.2500 1
N3 N 0.5000 0.0000 0.0000 1
Pa3 Pa 0.1315 0.2630 0.0729 1
N4 N 0.0257 0.0514 0.2500 1
N5 N 0.7664 0.5329 0.1069 1
N6 N 0.2336 0.4671 0.8931 1
Pu2 Pu 0.6117 0.2234 0.7500 1
N7 N 0.7664 0.5329 0.3931 1
Pa4 Pa 0.8685 0.7370 0.9271 1
N8 N 0.9743 0.9486 0.7500 1
```

Output
N(E_F), states/eV/atom: 1.425
Symmetry: Cmcm, No. 63
Total energy, eV/atom: -10.989

---

Entry 6:
DFT (PBE) results for an optimized crystal structure of HRuF2.

Structure (CIF):
```
data_HRuF2
_cell_length_a 6.3843
_cell_length_b 6.3843
_cell_length_c 6.3843
_cell_angle_alpha 24.79
_cell_angle_beta 24.79
_cell_angle_gamma 24.79
_symmetry_space_group_name_H-M 'P 1'
_symmetry_Int_Tables_number 1
_symmetry_space_group_name_Hall 'P 1'
loop_
_atom_site_label
_atom_site_type_symbol
_atom_site_fract_x
_atom_site_fract_y
_atom_site_fract_z
_atom_site_occupancy
F1 F 0.9382 0.9382 0.9382 1
H1 H 0.0000 0.0000 0.0000 1
Ru1 Ru 0.5000 0.5000 0.5000 1
F2 F 0.0618 0.0618 0.0618 1
```

Output
N(E_F), states/eV/atom: 0.464
Symmetry: R-3m, No. 166
Total energy, eV/atom: -4.805

---

Entry 7:
DFT (PBE) results for an optimized crystal structure of Ca2AlGe2Rh5.

Structure (CIF):
```
data_Ca2AlGe2Rh5
_cell_length_a 3.2934
_cell_length_b 10.0865
_cell_length_c 10.0865
_cell_angle_alpha 90.00
_cell_angle_beta 90.00
_cell_angle_gamma 90.00
_symmetry_space_group_name_H-M 'P 1'
_symmetry_Int_Tables_number 1
_symmetry_space_group_name_Hall 'P 1'
loop_
_atom_site_label
_atom_site_type_symbol
_atom_site_fract_x
_atom_site_fract_y
_atom_site_fract_z
_atom_site_occupancy
Rh1 Rh 0.5000 0.4346 0.3001 1
Rh2 Rh 0.5000 0.9346 0.1999 1
Rh3 Rh 0.5000 0.0654 0.8001 1
Rh4 Rh 0.5000 0.1999 0.0654 1
Rh5 Rh 0.5000 0.6999 0.4346 1
Al1 Al 0.0000 0.5000 0.5000 1
Ge1 Ge 0.0000 0.6291 0.8709 1
Rh6 Rh 0.5000 0.3001 0.5654 1
Ge2 Ge 0.0000 0.8709 0.3709 1
Rh7 Rh 0.5000 0.8001 0.9346 1
Rh8 Rh 0.5000 0.0000 0.5000 1
Rh9 Rh 0.5000 0.5000 0.0000 1
Rh10 Rh 0.5000 0.5654 0.6999 1
Ge3 Ge 0.0000 0.3709 0.1291 1
Ca1 Ca 0.0000 0.1718 0.3282 1
Ca2 Ca 0.0000 0.3282 0.8282 1
Al2 Al 0.0000 0.0000 0.0000 1
Ge4 Ge 0.0000 0.1291 0.6291 1
Ca3 Ca 0.0000 0.6718 0.1718 1
Ca4 Ca 0.0000 0.8282 0.6718 1
```

Output
N(E_F), states/eV/atom: 0.401
Formation energy from the elements, eV/atom: -0.6919
Symmetry: P4/mbm, No. 127
Total energy, eV/atom: -6.066

---

Entry 8:
DFT (PBE) results for an optimized crystal structure of KBa2Ir.

Structure (CIF):
```
data_KBa2Ir
_cell_length_a 3.9082
_cell_length_b 3.9072
_cell_length_c 11.6753
_cell_angle_alpha 90.00
_cell_angle_beta 90.00
_cell_angle_gamma 90.00
_symmetry_space_group_name_H-M 'P 1'
_symmetry_Int_Tables_number 1
_symmetry_space_group_name_Hall 'P 1'
loop_
_atom_site_label
_atom_site_type_symbol
_atom_site_fract_x
_atom_site_fract_y
_atom_site_fract_z
_atom_site_occupancy
K1 K 0.5000 0.5000 0.7500 1
Ba1 Ba 0.0000 0.0000 0.0993 1
Ba2 Ba 0.0000 0.0000 0.4007 1
Ir1 Ir 0.5000 0.5000 0.2500 1
```

Output
N(E_F), states/eV/atom: 0.566
Formation energy from the elements, eV/atom: 0.0174
Symmetry: P4/mmm, No. 123
Total energy, eV/atom: -3.434

---

Entry 9:
DFT (PBE) results for an optimized crystal structure of Be4Tc.

Structure (CIF):
```
data_Be4Tc
_cell_length_a 4.1142
_cell_length_b 4.1142
_cell_length_c 4.1142
_cell_angle_alpha 99.61
_cell_angle_beta 99.61
_cell_angle_gamma 131.76
_symmetry_space_group_name_H-M 'P 1'
_symmetry_Int_Tables_number 1
_symmetry_space_group_name_Hall 'P 1'
loop_
_atom_site_label
_atom_site_type_symbol
_atom_site_fract_x
_atom_site_fract_y
_atom_site_fract_z
_atom_site_occupancy
Tc1 Tc 0.0000 0.0000 0.0000 1
Be1 Be 0.1954 0.5762 0.7717 1
Be2 Be 0.4238 0.1954 0.6192 1
Be3 Be 0.8046 0.4238 0.2283 1
Be4 Be 0.5762 0.8046 0.3808 1
```

Output
N(E_F), states/eV/atom: 0.257
Formation energy from the elements, eV/atom: -0.0535
Symmetry: I4/m, No. 87
Total energy, eV/atom: -5.108

---

Entry 10:
DFT (PBE) results for an optimized crystal structure of TlReP2.

Structure (CIF):
```
data_TlReP2
_cell_length_a 5.1069
_cell_length_b 5.1069
_cell_length_c 5.1069
_cell_angle_alpha 134.05
_cell_angle_beta 134.05
_cell_angle_gamma 67.01
_symmetry_space_group_name_H-M 'P 1'
_symmetry_Int_Tables_number 1
_symmetry_space_group_name_Hall 'P 1'
loop_
_atom_site_label
_atom_site_type_symbol
_atom_site_fract_x
_atom_site_fract_y
_atom_site_fract_z
_atom_site_occupancy
P1 P 0.2500 0.7500 0.5000 1
Re1 Re 0.5000 0.5000 0.0000 1
P2 P 0.0000 0.0000 0.0000 1
Tl1 Tl 0.7500 0.2500 0.5000 1
```

Output
N(E_F), states/eV/atom: 0.896
Formation energy from the elements, eV/atom: 1.1069
Symmetry: I-4m2, No. 119
Total energy, eV/atom: -5.302

---

Number 1: size of the total moment 1.8 μB/f.u.. Number 2: size of the total moment 1.2 μB/f.u.. Number 3: size of the total moment 0.0 μB/f.u.. Number 4: size of the total moment 0.0 μB/f.u.. Number 5: size of the total moment 5.4 μB/f.u.. Number 6: size of the total moment 1.9 μB/f.u.. Number 7: size of the total moment 0.0 μB/f.u.. Number 8: size of the total moment 0.0 μB/f.u.. Number 9: size of the total moment 0.0 μB/f.u.. Number 10: size of the total moment 0.0 μB/f.u..